# 1
ScNbC2: optimized geometry, PBE.

Computed properties:
E ... -37.2 eV/f.u.
SG ... R-3m (166)
Calculated density ... 5.658 Mg/m³
Energy relative to the elements ... -579 meV/atom

Structure (CIF):
```
data_ScNbC2
_space_group_name_H-M_alt 'P 1'
_space_group_IT_number 1
_cell_length_a 3.213
_cell_length_b 3.213
_cell_length_c 5.629
_cell_angle_alpha 73.42
_cell_angle_beta 73.42
_cell_angle_gamma 60.00
loop_
_space_group_symop_operation_xyz
'x,y,z'
loop_
_atom_site_label
_atom_site_type_symbol
_atom_site_fract_x
_atom_site_fract_y
_atom_site_fract_z
C1 C 0.254 0.254 0.237
C2 C 0.746 0.746 0.763
Nb1 Nb 0.000 0.000 0.000
Sc1 Sc 0.500 0.500 0.500
```



# 2
ScNbC2: optimized geometry, PBE.

Computed properties:
E ... -32.6 eV/f.u.
SG ... Fm-3m (225)
Calculated density ... 5.890 Mg/m³
Energy relative to the elements ... 554 meV/atom

Structure (CIF):
```
data_ScNbC2
_space_group_name_H-M_alt 'P 1'
_space_group_IT_number 1
_cell_length_a 4.011
_cell_length_b 4.011
_cell_length_c 4.011
_cell_angle_alpha 60.00
_cell_angle_beta 60.00
_cell_angle_gamma 60.00
loop_
_space_group_symop_operation_xyz
'x,y,z'
loop_
_atom_site_label
_atom_site_type_symbol
_atom_site_fract_x
_atom_site_fract_y
_atom_site_fract_z
C1 C 0.250 0.250 0.250
C2 C 0.750 0.750 0.750
Sc1 Sc 0.000 0.000 0.000
Nb1 Nb 0.500 0.500 0.500
```